## NaGdCuS3 (PBE-GGA)

Data for an optimized crystal structure of NaGdCuS3.

POSCAR file:
```
NaGdCuS3
1.0
8.014 0.000 0.000
0.000 3.931 0.000
-2.478 0.000 9.284
Na Gd Cu S
2 2 2 6
direct
0.187 0.250 0.176 Na
0.813 0.750 0.824 Na
0.324 0.750 0.851 Gd
0.676 0.250 0.149 Gd
0.079 0.250 0.603 Cu
0.921 0.750 0.397 Cu
0.082 0.250 0.845 S
0.196 0.750 0.547 S
0.435 0.750 0.148 S
0.565 0.250 0.852 S
0.804 0.250 0.453 S
0.918 0.750 0.155 S
```

Uncorrected energy = -4.878 eV per atom
M_tot = 0.00 μB/f.u.